# 1
Below is a geometry-optimized NpCdHg structure, with properties calculated at the PBE level.

Theoretical density in g/cm3: 13.69

a b c (Å): 3.013 3.013 8.485
angles (deg): 90.00 90.00 120.00
Each line ends with the local moment (μB).
Element x y z (fractional)
Hg 0.667 0.333 0.336  -0.02
Cd 0.333 0.667 0.662  -0.02
Np 0.000 0.000 0.001  3.39



# 2
Below is a geometry-optimized NpCd5Hg6 structure, with properties calculated at the PBE level.

Theoretical density in g/cm3: 11.35

a b c (Å): 4.848 9.097 9.097
angles (deg): 120.13 105.52 105.52
Each line ends with the local moment (μB).
Element x y z (fractional)
Hg 0.735 0.575 0.896  0.00
Hg 0.265 0.104 0.425  0.00
Np 0.000 0.000 0.000  4.13
Cd 0.000 0.690 0.310  0.00
Hg 0.735 0.896 0.575  0.00
Cd 0.500 0.162 0.838  0.00
Cd 0.500 0.500 0.500  -0.01
Hg 0.230 0.730 0.730  0.01
Cd 0.500 0.838 0.162  0.00
Hg 0.265 0.425 0.104  0.00
Hg 0.770 0.270 0.270  0.01
Cd 0.000 0.310 0.690  0.00



# 3
Below is a geometry-optimized NpCd2Hg structure, with properties calculated at the PBE level.

Theoretical density in g/cm3: 11.79

a b c (Å): 3.064 3.064 9.945
angles (deg): 90.00 90.00 90.00
Each line ends with the local moment (μB).
Element x y z (fractional)
Hg 0.500 0.500 0.000  0.00
Cd 0.000 0.000 0.757  -0.01
Cd 0.000 0.000 0.243  -0.01
Np 0.500 0.500 0.500  4.34



# 4
Below is a geometry-optimized NpCdHg2 structure, with properties calculated at the PBE level.

Theoretical density in g/cm3: 12.72

a b c (Å): 3.078 5.642 5.642
angles (deg): 90.00 90.00 90.00
Each line ends with the local moment (μB).
Element x y z (fractional)
Np 0.500 0.500 0.500  4.27
Cd 0.500 0.000 0.000  -0.02
Hg 0.000 0.500 0.000  0.02
Hg 0.000 0.000 0.500  0.02



# 5
Below is a geometry-optimized NpCdHg structure, with properties calculated at the PBE level.

Theoretical density in g/cm3: 13.60

a b c (Å): 2.995 5.009 9.075
angles (deg): 90.00 99.50 90.00
Each line ends with the local moment (μB).
Element x y z (fractional)
Cd 0.443 0.250 0.885  0.00
Hg 0.105 0.250 0.210  -0.01
Hg 0.895 0.750 0.790  -0.01
Np 0.762 0.250 0.524  3.37
Np 0.238 0.750 0.476  3.37
Cd 0.557 0.750 0.115  0.00



# 6
Below is a geometry-optimized NpCdHg structure, with properties calculated at the PBE level.

Theoretical density in g/cm3: 13.06

a b c (Å): 3.093 3.093 7.630
angles (deg): 101.70 101.70 90.00
Each line ends with the local moment (μB).
Element x y z (fractional)
Cd 0.329 0.329 0.658  -0.02
Np 0.001 0.001 0.003  4.25
Hg 0.669 0.669 0.339  -0.01



# 7
Below is a geometry-optimized NpCd2HgO6 structure, with properties calculated at the PBE level.

E_form (uncorrected) in eV per atom: -1.543
Theoretical density in g/cm3: 8.49

a b c (Å): 5.782 5.784 6.113
angles (deg): 61.73 61.80 59.96
Each line ends with the local moment (μB).
Element x y z (fractional)
O 0.121 0.416 0.778  -0.04
O 0.685 0.121 0.779  -0.04
Hg 0.810 0.810 0.570  -0.01
Cd 0.023 0.024 0.930  0.00
O 0.223 0.957 0.248  -0.04
Np 0.321 0.321 0.036  1.25
O 0.957 0.572 0.248  -0.04
O 0.573 0.222 0.249  -0.04
O 0.415 0.685 0.779  -0.04
Cd 0.534 0.534 0.398  0.00



# 8
Below is a geometry-optimized NpCd2Hg2O6 structure, with properties calculated at the PBE level.

E_form (uncorrected) in eV per atom: -1.349
Theoretical density in g/cm3: 7.53

a b c (Å): 5.954 5.954 8.038
angles (deg): 103.20 103.20 122.51
Each line ends with the local moment (μB).
Element x y z (fractional)
O 0.171 0.171 0.340  -0.01
O 0.829 0.829 0.660  -0.01
Cd 0.330 0.670 0.500  0.00
O 0.587 0.883 0.342  -0.01
O 0.117 0.413 0.658  -0.01
Hg 0.732 0.268 0.000  0.00
Np 0.000 0.000 0.500  0.29
O 0.883 0.587 0.342  -0.01
O 0.413 0.117 0.658  -0.01
Cd 0.670 0.330 0.500  0.00
Hg 0.268 0.732 0.000  0.00



# 9
Below is a geometry-optimized NpCdHgO6 structure, with properties calculated at the PBE level.

E_form (uncorrected) in eV per atom: -1.376
Theoretical density in g/cm3: 7.99

a b c (Å): 5.621 5.621 9.818
angles (deg): 90.00 90.00 120.00
Each line ends with the local moment (μB).
Element x y z (fractional)
O 0.045 0.367 0.631  0.14
O 0.955 0.322 0.131  0.14
Cd 0.000 0.000 0.500  0.01
Np 0.333 0.667 0.750  -0.06
O 0.955 0.633 0.369  0.14
O 0.633 0.955 0.869  0.14
O 0.367 0.322 0.369  0.14
Hg 0.667 0.333 0.750  0.10
Hg 0.333 0.667 0.250  0.10
O 0.322 0.955 0.631  0.14
O 0.367 0.045 0.131  0.14
O 0.322 0.367 0.869  0.14
Np 0.667 0.333 0.250  -0.06
O 0.678 0.633 0.131  0.14
O 0.633 0.678 0.631  0.14
O 0.045 0.678 0.869  0.14
O 0.678 0.045 0.369  0.14
Cd 0.000 0.000 0.000  0.01



# 10
Below is a geometry-optimized NpCdHgSb structure, with properties calculated at the PBE level.

E_form (uncorrected) in eV per atom: 0.054
Theoretical density in g/cm3: 11.00

a b c (Å): 5.235 5.235 5.235
angles (deg): 60.00 60.00 60.00
Each line ends with the local moment (μB).
Element x y z (fractional)
Cd 0.750 0.750 0.750  0.00
Np 0.250 0.250 0.250  4.17
Hg 0.500 0.500 0.500  0.01
Sb 0.000 0.000 0.000  0.01



# 11
Below is a geometry-optimized NpCd5Hg4Sb structure, with properties calculated at the PBE level.

E_form (uncorrected) in eV per atom: 0.149
Theoretical density in g/cm3: 9.74

a b c (Å): 5.426 5.426 9.979
angles (deg): 90.00 90.00 90.00
Each line ends with the local moment (μB).
Element x y z (fractional)
Np 0.500 0.500 0.500  4.24
Sb 0.000 0.000 0.500  -0.03
Hg 0.000 0.500 0.000  0.00
Cd 0.500 0.000 0.308  0.01
Cd 0.000 0.000 0.000  0.01
Hg 0.500 0.000 0.000  0.00
Cd 0.000 0.500 0.692  0.01
Cd 0.500 0.000 0.692  0.01
Hg 0.500 0.500 0.178  0.01
Hg 0.500 0.500 0.822  0.01
Cd 0.000 0.500 0.308  0.01



# 12
Below is a geometry-optimized NpZnCdHg structure, with properties calculated at the PBE level.

Theoretical density in g/cm3: 11.40

a b c (Å): 5.024 5.024 5.024
angles (deg): 60.00 60.00 60.00
Each line ends with the local moment (μB).
Element x y z (fractional)
Hg 0.500 0.500 0.500  0.02
Cd 0.750 0.750 0.750  -0.01
Np 0.250 0.250 0.250  4.00
Zn 0.000 0.000 0.000  0.03



Number 1: VASP energy -13.601 eV/f.u.. Number 2: VASP energy -18.617 eV/f.u.. Number 3: VASP energy -14.434 eV/f.u.. Number 4: VASP energy -13.709 eV/f.u.. Number 5: VASP energy -13.622 eV/f.u.. Number 6: VASP energy -13.646 eV/f.u.. Number 7: VASP energy -60.250 eV/f.u.. Number 8: VASP energy -59.964 eV/f.u.. Number 9: VASP energy -56.290 eV/f.u.. Number 10: VASP energy -18.065 eV/f.u.. Number 11: VASP energy -21.212 eV/f.u.. Number 12: VASP energy -14.868 eV/f.u..